Record 1
Here is a relaxed structure of Ag4As from Alexandria. Energies are from PBEsol.

Structure (extended XYZ):
```
5
Lattice="-3.2422 3.2422 2.0119 3.2422 -3.2422 2.0119 3.2422 3.2422 -2.0119" Properties=species:S:1:pos:R:3 pbc="T T T"
Ag 4.5277 0.6601 0.0000
Ag 0.6601 1.9566 0.0000
Ag 2.5821 1.2856 2.0119
Ag -1.2856 2.5821 2.0119
As 0.0000 0.0000 2.0119
```

Output
final energy: -3.60 eV per atom
volume: 16.92 A^3/atom
crystal system: tetragonal
spin magnetization: 0.00 μB per cell


Record 2
Here is a relaxed structure of BaCdRh from Alexandria. Energies are from PBEsol.

Structure (extended XYZ):
```
3
Lattice="4.5846 0.0000 0.0000 -2.2923 3.9703 0.0000 0.0000 0.0000 4.5049" Properties=species:S:1:pos:R:3 pbc="T T T"
Ba 0.0000 0.0000 0.0000
Cd 0.0000 2.6469 2.2524
Rh 2.2923 1.3234 2.2524
```

Output
final energy: -3.92 eV per atom
volume: 27.33 A^3/atom
crystal system: hexagonal
spin magnetization: 0.00 μB per cell